# 1
Entry from Alexandria: an optimized crystal structure of InGaCl2O (GGA-PBE).

Computed properties:
Crystal system: tetragonal
Total magnetic moment, Bohr magnetons per cell: 1.58
Raw formation energy, eV/atom: 0.125

a = 5.1037 Å, b = 5.8920 Å, c = 5.1037 Å
α = 90.00°, β = 90.00°, γ = 90.00°
Positions (direct):
In (0.0000, 0.0000, 0.0000)
Ga (0.0000, 0.5000, 0.0000)
Cl (0.5000, 0.0000, 0.0000)
Cl (0.0000, 0.0000, 0.5000)
O (0.5000, 0.5000, 0.5000)

---

# 2
Entry from Alexandria: an optimized crystal structure of Ti4VMo (GGA-PBE).

Computed properties:
Crystal system: monoclinic
Calculated formation energy, kJ/mol of formula units: 131
Total magnetic moment, Bohr magnetons per cell: 0.00

a = 4.9277 Å, b = 6.7820 Å, c = 7.5751 Å
α = 116.59°, β = 113.41°, γ = 90.00°
Positions (direct):
Ti (0.0000, 0.8115, 0.0000)
Ti (0.9366, 0.3281, 0.6563)
Ti (0.6615, 0.9416, 0.2616)
Ti (0.0000, 0.1885, 0.0000)
Ti (0.6615, 0.3200, 0.2616)
Ti (0.0634, 0.6719, 0.3437)
Ti (0.3385, 0.6800, 0.7384)
Ti (0.3385, 0.0584, 0.7384)
Mo (0.3450, 0.5521, 0.1042)
Mo (0.6550, 0.4479, 0.8958)
V (0.7291, 0.7875, 0.5750)
V (0.2709, 0.2125, 0.4250)

---

| no. | final energy (Ry per atom) |
| --- | --- |
| 1 | -0.2027 |
| 2 | -0.6145 |